The following is a PBE with a Hubbard U calculation of a relaxed structure of CoBiRu2O, from Alexandria.

- Space group: P4/mmm, No. 123
- Density of states at the Fermi level: 1.562 states/eV/atom
- E_tot: -20.7 eV for the cell shown
- M_tot: 5.994 Bohr magnetons per cell

Lattice parameters (Å, degrees): 5.0671 4.8439 5.0671 90.00 90.00 90.00
Atoms (fractional coordinates):
Ru: 0.0000 0.0000 0.5000
Ru: 0.5000 0.0000 0.0000
Co: 0.0000 0.5000 0.0000
Bi: 0.0000 0.0000 0.0000
O: 0.5000 0.5000 0.5000